VASP calculation (PBE) on an optimized crystal structure of Ba2Bi5Au.

Output
Space-group type: I4mm, No. 107
Magnetic moment in μB per atom: 0.0000
ΔE_f in eV/atom: -0.455
DOS(E_F) in states/eV per cell: 4.418
E in eV per atom: -3.77

abc: 7.2411 7.2411 7.4470
angles: 119.08 119.09 90.00
With the nearest neighbours (Å) after each atom.
Fractional positions:
Ba 0.7382 0.2383 0.4765  10 Bi 3.63-3.75, 2 Au 4.00
Bi 0.7217 0.2590 0.9806  1 Au 2.92
Ba 0.2382 0.7383 0.4765  10 Bi 3.63-3.75, 2 Au 3.99-4.00
Bi 0.2589 0.2589 0.9806  1 Au 2.92
Au 0.0821 0.0820 0.1641  4 Bi 2.92
Bi 0.7573 0.7573 0.5145  1 Au 3.51, 4 Ba 3.63, 8 Bi 3.73-3.74
Bi 0.7216 0.7216 0.9806  1 Au 2.92
Bi 0.2590 0.7216 0.9806  1 Au 2.92